--- A ---
BaZnNF2 | PBE-GGA | relaxed

Lattice parameters (Å, degrees): 4.996 4.996 6.189 90.00 90.00 90.00
Atoms (fractional coordinates):
Zn: 0.500 0.500 0.500
N: 0.000 0.000 0.500
Ba: 0.000 0.000 0.000
F: 0.000 0.500 0.000
F: 0.500 0.000 0.000

Results
For the density of states at the Fermi level, the calculation gives 0.4 states/eV/f.u.


--- B ---
BaZnNF2 | PBE-GGA | relaxed

Lattice parameters (Å, degrees): 4.418 4.418 3.922 90.00 90.00 90.00
Atoms (fractional coordinates):
Zn: 0.000 0.000 0.000
N: 0.000 0.000 0.500
Ba: 0.500 0.500 0.500
F: 0.000 0.500 0.000
F: 0.500 0.000 0.000

Results
For the density of states at the Fermi level, the calculation gives 2.5 states/eV/f.u.


Of them, A has the lowest stability.


--- A ---
BaZrN2F | PBE-GGA | relaxed

Lattice parameters (Å, degrees): 4.650 4.650 4.591 90.00 90.00 90.00
Atoms (fractional coordinates):
N: 0.000 0.500 0.000
N: 0.500 0.000 0.000
Ba: 0.000 0.000 0.000
Zr: 0.500 0.500 0.500
F: 0.000 0.000 0.500

Results
For the density of states at the Fermi level, the calculation gives 3.2 states/eV/f.u.


--- B ---
BaZrN2F | PBE-GGA | relaxed

Lattice parameters (Å, degrees): 4.316 4.316 4.414 90.00 90.00 90.00
Atoms (fractional coordinates):
N: 0.000 0.500 0.000
N: 0.500 0.000 0.000
Ba: 0.500 0.500 0.500
Zr: 0.000 0.000 0.000
F: 0.000 0.000 0.500

Results
For the density of states at the Fermi level, the calculation gives 3.4 states/eV/f.u.


--- C ---
BaZrN2F | PBE-GGA | relaxed

Lattice parameters (Å, degrees): 4.416 6.328 4.416 90.00 90.00 90.00
Atoms (fractional coordinates):
N: 0.000 0.000 0.500
N: 0.500 0.000 0.000
Ba: 0.000 0.000 0.000
Zr: 0.000 0.500 0.000
F: 0.500 0.500 0.500

Results
For the density of states at the Fermi level, the calculation gives 5.9 states/eV/f.u.


Of them, C has the lowest stability.


--- A ---
BaNaOF2 | PBE-GGA | relaxed

Lattice parameters (Å, degrees): 4.272 4.272 4.412 90.00 90.00 90.00
Atoms (fractional coordinates):
Na: 0.000 0.000 0.000
Ba: 0.500 0.500 0.500
O: 0.000 0.000 0.500
F: 0.000 0.500 0.000
F: 0.500 0.000 0.000

Results
For the density of states at the Fermi level, the calculation gives 0.0 states/eV/f.u.


--- B ---
BaNaOF2 | PBE-GGA | relaxed

Lattice parameters (Å, degrees): 5.080 5.080 4.560 90.00 90.00 90.00
Atoms (fractional coordinates):
Na: 0.500 0.500 0.500
Ba: 0.000 0.000 0.000
O: 0.000 0.000 0.500
F: 0.000 0.500 0.000
F: 0.500 0.000 0.000

Results
For the density of states at the Fermi level, the calculation gives 0.6 states/eV/f.u.


Of them, B has the lowest stability.


--- A ---
BaNb3F | PBE-GGA | relaxed

Lattice parameters (Å, degrees): 5.122 5.122 5.122 90.00 90.00 90.00
Atoms (fractional coordinates):
Nb: 0.000 0.500 0.000
Nb: 0.000 0.000 0.500
Nb: 0.500 0.000 0.000
Ba: 0.000 0.000 0.000
F: 0.500 0.500 0.500

Results
For the density of states at the Fermi level, the calculation gives 3.6 states/eV/f.u.


--- B ---
BaNb3F | PBE-GGA | relaxed

Lattice parameters (Å, degrees): 4.674 4.674 4.674 90.00 90.00 90.00
Atoms (fractional coordinates):
Nb: 0.000 0.500 0.000
Nb: 0.000 0.000 0.500
Nb: 0.500 0.000 0.000
Ba: 0.500 0.500 0.500
F: 0.000 0.000 0.000

Results
For the density of states at the Fermi level, the calculation gives 6.1 states/eV/f.u.


Of them, A has the lowest stability.


--- A ---
BaNbF2 | PBE-GGA | relaxed

Lattice parameters (Å, degrees): 8.916 8.916 8.916 20.19 20.19 20.19
Atoms (fractional coordinates):
Nb: 0.500 0.500 0.500
Ba: 0.000 0.000 0.000
F: 0.892 0.892 0.892
F: 0.108 0.108 0.108

Results
For the density of states at the Fermi level, the calculation gives 3.1 states/eV/f.u.


--- B ---
BaNbF2 | PBE-GGA | relaxed

Lattice parameters (Å, degrees): 4.956 4.956 7.825 71.54 71.54 90.00
Atoms (fractional coordinates):
Nb: 0.500 0.500 0.000
Nb: 0.250 0.750 0.500
Ba: 0.000 0.000 0.000
Ba: 0.750 0.250 0.500
F: 0.439 0.125 0.250
F: 0.311 0.625 0.250
F: 0.375 0.561 0.750
F: 0.875 0.689 0.750

Results
For the density of states at the Fermi level, the calculation gives 1.1 states/eV/f.u.


Of them, A has the lowest stability.


--- A ---
BaNbF2 | PBE-GGA | relaxed

Lattice parameters (Å, degrees): 4.895 4.895 4.895 60.00 60.00 60.00
Atoms (fractional coordinates):
Nb: 0.000 0.000 0.000
Ba: 0.500 0.500 0.500
F: 0.250 0.250 0.250
F: 0.750 0.750 0.750

Results
For the density of states at the Fermi level, the calculation gives 6.5 states/eV/f.u.


--- B ---
BaNbF2 | PBE-GGA | relaxed

Lattice parameters (Å, degrees): 8.210 8.210 8.210 23.88 23.88 23.88
Atoms (fractional coordinates):
Nb: 0.000 0.000 0.000
Ba: 0.500 0.500 0.500
F: 0.911 0.911 0.911
F: 0.089 0.089 0.089

Results
For the density of states at the Fermi level, the calculation gives 3.0 states/eV/f.u.


Of them, A has the lowest stability.